1.
VASP calculation (PBE) on crystalline Zr6InHg2 at its relaxed geometry.

Geometry as POSCAR:
```
Zr6InHg2
1.0
-2.255 -1.036 -1.929
-8.322 -5.009 2.093
-15.573 1.125 -0.470
Zr In Hg
6 1 2
Direct
0.464 0.690 0.972
0.536 0.310 0.028
0.543 0.942 0.377
0.009 0.151 0.842
0.991 0.849 0.158
0.457 0.058 0.623
0.500 0.500 0.500
0.512 0.354 0.293
0.488 0.646 0.707
```

Output
energy of formation from the pure elements = -45 meV/atom
raw total energy = -55.03 eV/cell
energy relative to the lowest polymorph listed for this composition = 0 meV/atom
space-group type = No. 2

=====

2.
VASP calculation (PBE) on crystalline Y3Se2S2 at its relaxed geometry.

Geometry as POSCAR:
```
Y3Se2S2
1.0
3.970 -0.004 0.000
-1.978 6.543 -0.095
-0.006 -1.088 6.951
Y Se S
3 2 2
Direct
0.000 0.000 0.000
0.757 0.514 0.252
0.243 0.486 0.748
0.876 0.753 0.628
0.124 0.247 0.372
0.628 0.255 0.891
0.372 0.745 0.109
```

Output
raw total energy = -48.57 eV/cell
energy relative to the lowest polymorph listed for this composition = 0 meV/atom
E_form (uncorrected) = -13.954 eV/f.u.
space-group type = No. 2

=====

3.
VASP calculation (PBE) on crystalline As2Cl at its relaxed geometry.

Geometry as POSCAR:
```
As2Cl
1.0
-3.632 -4.158 -0.701
-3.785 -1.081 3.934
-5.372 1.124 -0.923
As Cl
4 2
Direct
0.625 0.125 0.125
0.125 0.625 0.125
0.125 0.125 0.625
0.125 0.125 0.125
0.500 0.500 0.500
0.750 0.750 0.750
```

Output
raw total energy = -20.31 eV/cell
energy relative to the lowest polymorph listed for this composition = 601 meV/atom
E_form (uncorrected) = 0.990 eV/f.u.
space-group type = No. 227

=====

4.
VASP calculation (PBE) on crystalline Tl3RuO at its relaxed geometry.

Geometry as POSCAR:
```
Tl3RuO
1.0
4.847 0.000 0.000
0.000 4.847 0.000
0.000 0.000 4.847
Ru Tl O
1 3 1
Direct
0.500 0.500 0.500
0.000 0.500 0.000
0.000 0.000 0.500
0.500 0.000 0.000
0.000 0.000 0.000
```

Output
raw total energy = -18.54 eV/cell
energy relative to the lowest polymorph listed for this composition = 51 meV/atom
E_form (uncorrected) = 2.795 eV/f.u.
space-group type = No. 221

=====

5.
VASP calculation (PBE) on crystalline VIn2GaRe at its relaxed geometry.

Geometry as POSCAR:
```
VIn2GaRe
1.0
-3.247 -2.316 -2.981
3.465 -0.268 -3.566
1.388 -4.077 1.655
Re V Ga In
1 1 1 2
Direct
0.500 0.500 0.500
0.000 0.000 0.000
0.000 0.000 0.500
0.000 0.500 0.000
0.500 0.000 0.000
```

Output
energy of formation from the pure elements = 1645 meV/atom
raw total energy = -21.85 eV/cell
space-group type = No. 123

=====

6.
VASP calculation (PBE) on crystalline Pr12BiRu6 at its relaxed geometry.

Geometry as POSCAR:
```
Pr12BiRu6
1.0
-6.646 4.523 -3.861
-2.981 -3.876 7.458
6.636 5.608 2.012
Pr Bi Ru
12 1 6
Direct
0.301 0.105 0.804
0.301 0.497 0.196
0.699 0.503 0.804
0.699 0.895 0.196
0.105 0.804 0.301
0.497 0.196 0.301
0.503 0.804 0.699
0.895 0.196 0.699
0.804 0.301 0.105
0.196 0.301 0.497
0.804 0.699 0.503
0.196 0.699 0.895
0.000 0.000 0.000
0.381 0.500 0.881
0.619 0.500 0.119
0.500 0.881 0.381
0.500 0.119 0.619
0.881 0.381 0.500
0.119 0.619 0.500
```

Output
energy of formation from the pure elements = -203 meV/atom
raw total energy = -120.74 eV/cell
space-group type = No. 204